DFT (PBE) results for a relaxed structure of Tb2Y6Pu.

Geometry as CIF:
```
data_Tb2Y6Pu
_chemical_formula_sum 'Tb2 Y6 Pu1'
_symmetry_space_group_name_H-M 'P 1'
_symmetry_Int_Tables_number 1
_symmetry_space_group_name_Hall 'P 1'
_cell_length_a 7.638
_cell_length_b 7.638
_cell_length_c 7.638
_cell_angle_alpha 57.42
_cell_angle_beta 57.42
_cell_angle_gamma 57.42
loop_
_atom_site_label
_atom_site_fract_x
_atom_site_fract_y
_atom_site_fract_z
_atom_site_occupancy
Tb1 0.000 0.000 0.000 1
Tb2 0.177 0.177 0.177 1
Y1 0.153 0.700 0.700 1
Y2 0.496 0.496 0.985 1
Y3 0.496 0.985 0.496 1
Y4 0.700 0.153 0.700 1
Y5 0.700 0.700 0.153 1
Y6 0.985 0.496 0.496 1
Pu1 0.436 0.436 0.436 1
```

Calculated values
- E: -6.59 eV per atom
- D(E_F): 1.43 states/eV/atom
- Total magnetic moment: 4.50 Bohr magnetons per cell
- Offset from the most stable computed form: 289 meV per atom
- Calculated volume: 32.9 A^3/atom
- ρ: 6.1 Mg/m³